# LaSc4Cr3O12

A relaxed LaSc4Cr3O12 crystal (PBE+U, Alexandria via LeMat-Bulk).

Cell: 7.8009 7.8009 7.8009 Å, 90.00 90.00 90.00°
Space group Im-3 (No. 204)
One atom of each set of equivalent atoms:
La: 0.0000 0.0000 0.0000 [2 per cell]
Sc: 0.2500 0.2500 0.2500 [8 per cell]
Cr: 0.0000 0.0000 0.5000 [6 per cell]
O: 0.0000 0.1660 0.3104 [24 per cell]

## Properties
E	-167.0	eV/f.u.
mass density	4.66	g cm⁻³
total moment	9.00	μB per formula unit
volume	11.87	Å³ per atom